## Zr4CoPN2 (PBE)

Data for a geometry-optimized Zr4CoPN2 structure.

abc: 3.3249 3.3249 12.4735
angles: 90.00 90.00 120.00
Fractional coordinates of all 8 atoms:
1 Co 0.6667 0.3333 0.5000
2 N 0.3333 0.6667 0.2486
3 N 0.3333 0.6667 0.7514
4 P 0.0000 0.0000 0.0000
5 Zr 0.6667 0.3333 0.1444
6 Zr 0.0000 0.0000 0.3519
7 Zr 0.0000 0.0000 0.6481
8 Zr 0.6667 0.3333 0.8556

Computed properties:
SG: P-6m2 (187)
Calculated total energy in eV/f.u.: -72.15


## HfAl2Os (PBE)

Data for a geometry-optimized HfAl2Os structure.

abc: 4.4835 4.4835 4.4835
angles: 60.00 60.00 60.00
Fractional coordinates of all 4 atoms:
1 Al 0.0000 0.0000 0.0000
2 Al 0.2500 0.2500 0.2500
3 Hf 0.5000 0.5000 0.5000
4 Os 0.7500 0.7500 0.7500

Computed properties:
SG: F-43m (216)
Calculated total energy in eV/f.u.: -30.39


## HfZrTl2Cu2Pd2 (PBE)

Data for a geometry-optimized HfZrTl2Cu2Pd2 structure.

abc: 4.6397 4.6397 6.5858
angles: 90.00 90.00 90.00
Fractional coordinates of all 8 atoms:
1 Cu 0.0000 0.5000 0.2465
2 Cu 0.5000 0.0000 0.7535
3 Hf 0.5000 0.5000 0.0000
4 Pd 0.5000 0.0000 0.2444
5 Pd 0.0000 0.5000 0.7556
6 Tl 0.0000 0.0000 0.0000
7 Tl 0.5000 0.5000 0.5000
8 Zr 0.0000 0.0000 0.5000

Computed properties:
SG: P-4m2 (115)
Calculated total energy in eV/f.u.: -43.00


## HfCdSi2 (PBE)

Data for a geometry-optimized HfCdSi2 structure.

abc: 4.7102 4.7102 4.7102
angles: 60.00 60.00 60.00
Fractional coordinates of all 4 atoms:
1 Cd 0.5000 0.5000 0.5000
2 Hf 0.7500 0.7500 0.7500
3 Si 0.0000 0.0000 0.0000
4 Si 0.2500 0.2500 0.2500

Computed properties:
SG: F-43m (216)
Calculated total energy in eV/f.u.: -20.08


## YZrB4 (PBE)

Data for a geometry-optimized YZrB4 structure.

abc: 3.2224 3.2224 7.4334
angles: 90.00 90.00 120.00
Fractional coordinates of all 6 atoms:
1 B 0.6667 0.3333 0.2359
2 B 0.3333 0.6667 0.2359
3 B 0.6667 0.3333 0.7641
4 B 0.3333 0.6667 0.7641
5 Y 0.0000 0.0000 0.5000
6 Zr 0.0000 0.0000 0.0000

Computed properties:
SG: P6/mmm (191)
Calculated total energy in eV/f.u.: -46.44


## Sr2LiAgP2 (PBE)

Data for a geometry-optimized Sr2LiAgP2 structure.

abc: 4.3819 4.3819 8.2584
angles: 90.00 90.00 120.00
Fractional coordinates of all 6 atoms:
1 Ag 0.6667 0.3333 0.5000
2 Li 0.0000 0.0000 0.0000
3 P 0.6667 0.3333 0.0000
4 P 0.0000 0.0000 0.5000
5 Sr 0.3333 0.6667 0.2466
6 Sr 0.3333 0.6667 0.7534

Computed properties:
SG: P-6m2 (187)
Calculated total energy in eV/f.u.: -24.12


## TcCl (PBE)

Data for a geometry-optimized TcCl structure.

abc: 2.9193 2.9193 4.1127
angles: 90.00 90.00 120.00
Fractional coordinates of all 2 atoms:
1 Cl 0.6667 0.3333 0.7500
2 Tc 0.3333 0.6667 0.2500

Computed properties:
E above lowest polymorph in eV/atom: 0.000
SG: P-6m2 (187)
Calculated total energy in eV/f.u.: -10.66


## DyAsPbO (PBE)

Data for a geometry-optimized DyAsPbO structure.

abc: 4.0067 8.4466 6.0630
angles: 90.00 90.00 90.00
Fractional coordinates of all 8 atoms:
1 As 0.0000 0.8280 0.4099
2 As 0.0000 0.1720 0.9099
3 Dy 0.0000 0.1626 0.4252
4 Dy 0.0000 0.8374 0.9252
5 O 0.5000 0.2547 0.3862
6 O 0.5000 0.7453 0.8862
7 Pb 0.5000 0.3796 0.0327
8 Pb 0.5000 0.6204 0.5327

Computed properties:
E above lowest polymorph in eV/atom: 0.013
SG: Pmc2_1 (26)
Calculated total energy in eV/f.u.: -23.53


## SrTbAsO (PBE)

Data for a geometry-optimized SrTbAsO structure.

abc: 4.4082 4.4082 9.2637
angles: 90.00 90.00 90.00
Fractional coordinates of all 8 atoms:
1 As 0.7500 0.7500 0.2796
2 As 0.2500 0.2500 0.7204
3 O 0.7500 0.2500 0.0000
4 O 0.2500 0.7500 0.0000
5 Sr 0.7500 0.2500 0.5000
6 Sr 0.2500 0.7500 0.5000
7 Tb 0.2500 0.2500 0.0879
8 Tb 0.7500 0.7500 0.9121

Computed properties:
E above lowest polymorph in eV/atom: 0.392
SG: P4/nmm (129)
Calculated total energy in eV/f.u.: -22.77


## NdZrGa (PBE)

Data for a geometry-optimized NdZrGa structure.

abc: 4.8378 4.8378 4.8378
angles: 60.00 60.00 60.00
Fractional coordinates of all 3 atoms:
1 Ga 0.0000 0.0000 0.0000
2 Nd 0.2500 0.2500 0.2500
3 Zr 0.7500 0.7500 0.7500

Computed properties:
SG: F-43m (216)
Calculated total energy in eV/f.u.: -16.49


## DyEr2Pt8 (PBE)

Data for a geometry-optimized DyEr2Pt8 structure.

abc: 7.0428 7.0428 9.7137
angles: 128.13 128.13 35.43
Fractional coordinates of all 11 atoms:
1 Dy 0.0000 0.0000 0.0000
2 Er 0.8008 0.8008 0.1841
3 Er 0.1992 0.1992 0.8159
4 Pt 0.4296 0.4296 0.1631
5 Pt 0.6859 0.6859 0.3328
6 Pt 0.0694 0.0694 0.3530
7 Pt 0.3653 0.3653 0.4184
8 Pt 0.6347 0.6347 0.5816
9 Pt 0.9306 0.9306 0.6470
10 Pt 0.3141 0.3141 0.6672
11 Pt 0.5704 0.5704 0.8369

Computed properties:
SG: C2/m (12)
Calculated total energy in eV/f.u.: -69.84
ΔE_f in kJ per mole of atoms: -67.2


## NaTbNiTe3 (PBE)

Data for a geometry-optimized NaTbNiTe3 structure.

abc: 12.2260 4.2590 12.3163
angles: 90.00 90.00 90.00
Fractional coordinates of all 24 atoms:
1 Na 0.7122 0.7500 0.0084
2 Na 0.2122 0.7500 0.4916
3 Na 0.7878 0.2500 0.5084
4 Na 0.2878 0.2500 0.9916
5 Ni 0.7389 0.2500 0.2154
6 Ni 0.2389 0.2500 0.2846
7 Ni 0.7611 0.7500 0.7154
8 Ni 0.2611 0.7500 0.7846
9 Tb 0.0440 0.7500 0.1969
10 Tb 0.5440 0.7500 0.3031
11 Tb 0.4560 0.2500 0.6969
12 Tb 0.9560 0.2500 0.8031
13 Te 0.9010 0.2500 0.0747
14 Te 0.5555 0.2500 0.1238
15 Te 0.3005 0.7500 0.1956
16 Te 0.8005 0.7500 0.3044
17 Te 0.0555 0.2500 0.3762
18 Te 0.4010 0.2500 0.4253
19 Te 0.5990 0.7500 0.5747
20 Te 0.9445 0.7500 0.6238
21 Te 0.1995 0.2500 0.6956
22 Te 0.6995 0.2500 0.8044
23 Te 0.4445 0.7500 0.8762
24 Te 0.0990 0.7500 0.9253

Computed properties:
E above lowest polymorph in eV/atom: 0.043
SG: Pnma (62)
Calculated total energy in eV/f.u.: -25.72


What is the calculated total energy in the fifth record?
-46.44 eV/f.u.